Entry 1:
KUO3 (PBE, optimized geometry); energy relative to the elements, uncorrected = -61.70 kcal/mol of atoms; N(E_F) = 0.76 states/eV/atom
1.0
5.7169 0.0000 0.0000
0.0000 4.3907 0.0000
0.0000 0.0000 6.3363
K U O
2 2 6
direct
0.2500 0.0000 0.2008
0.7500 0.0000 0.7992
0.2500 0.5000 0.7409
0.7500 0.5000 0.2591
0.0000 0.5000 0.0000
0.2500 0.0000 0.7464
0.2500 0.5000 0.4294
0.5000 0.5000 0.0000
0.7500 0.0000 0.2536
0.7500 0.5000 0.5706

---

Entry 2:
KU2O7 (PBE, optimized geometry); energy relative to the elements, uncorrected = -61.28 kcal/mol of atoms; N(E_F) = 0.38 states/eV/atom
1.0
1.9828 1.1448 10.9313
-1.9828 1.1448 10.9313
0.0000 -2.2896 10.9313
K U O
1 2 7
direct
0.0000 0.0000 0.0000
0.4371 0.4371 0.4371
0.5629 0.5629 0.5629
0.1007 0.1007 0.1007
0.2261 0.2261 0.2261
0.3793 0.3793 0.3793
0.5000 0.5000 0.5000
0.6207 0.6207 0.6207
0.7739 0.7739 0.7739
0.8993 0.8993 0.8993

---

Entry 3:
KU2O6 (PBE, optimized geometry); energy relative to the elements, uncorrected = -69.00 kcal/mol of atoms; N(E_F) = 0.62 states/eV/atom
1.0
0.0000 5.5995 5.5995
5.5995 0.0000 5.5995
5.5995 5.5995 0.0000
K U O
2 4 12
direct
0.1250 0.1250 0.1250
0.8750 0.8750 0.8750
0.0000 0.5000 0.5000
0.5000 0.0000 0.5000
0.5000 0.5000 0.0000
0.5000 0.5000 0.5000
0.1830 0.1830 0.5670
0.1830 0.5670 0.1830
0.1830 0.5670 0.5670
0.4330 0.4330 0.8170
0.4330 0.8170 0.4330
0.4330 0.8170 0.8170
0.5670 0.1830 0.1830
0.5670 0.1830 0.5670
0.5670 0.5670 0.1830
0.8170 0.4330 0.4330
0.8170 0.4330 0.8170
0.8170 0.8170 0.4330

---

Result set for V: 15.9 14.9 19.5 Å³ per atom, one per record in the order listed.
Result set for magnetization: 2.0 0.0 2.0 Bohr magnetons per cell, one per record in the order listed.